# 1
## SmDyScIn (PBE)

Data for a relaxed structure of SmDyScIn.

Structure (CIF):
```
data_SmDyScIn
_chemical_formula_sum 'Sm4 Dy4 Sc4 In4'
_space_group_name_H-M_alt 'P 1'
_space_group_IT_number 1
_space_group_name_Hall 'P 1'
_cell_length_a 7.613
_cell_length_b 7.613
_cell_length_c 7.613
_cell_angle_alpha 90.00
_cell_angle_beta 90.00
_cell_angle_gamma 90.00
loop_
_atom_site_label
_atom_site_fract_x
_atom_site_fract_y
_atom_site_fract_z
Sm1 0.000 0.000 0.000
Sm2 0.000 0.500 0.500
Sm3 0.500 0.000 0.500
Sm4 0.500 0.500 0.000
Dy1 0.000 0.000 0.500
Dy2 0.000 0.500 0.000
Dy3 0.500 0.000 0.000
Dy4 0.500 0.500 0.500
Sc1 0.250 0.250 0.250
Sc2 0.250 0.750 0.750
Sc3 0.750 0.250 0.750
Sc4 0.750 0.750 0.250
In1 0.250 0.250 0.750
In2 0.250 0.750 0.250
In3 0.750 0.250 0.250
In4 0.750 0.750 0.750
```

## Properties
Its density of states at the Fermi level is 1.389 states/eV/atom. Its volume is 441.2 Å³ per cell. Its offset from the most stable computed form is 95 meV/atom. The value obtained for the formation energy is -163 meV/atom.

---

# 2
## Cu4PtO2 (PBE)

Data for a relaxed structure of Cu4PtO2.

Structure (CIF):
```
data_Cu4PtO2
_chemical_formula_sum 'Cu8 Pt2 O4'
_space_group_name_H-M_alt 'P 1'
_space_group_IT_number 1
_space_group_name_Hall 'P 1'
_cell_length_a 4.619
_cell_length_b 4.619
_cell_length_c 10.774
_cell_angle_alpha 90.00
_cell_angle_beta 90.00
_cell_angle_gamma 90.00
loop_
_atom_site_label
_atom_site_fract_x
_atom_site_fract_y
_atom_site_fract_z
Cu1 0.000 0.000 0.226
Cu2 0.000 0.000 0.774
Cu3 0.000 0.500 0.000
Cu4 0.000 0.500 0.500
Cu5 0.500 0.000 0.000
Cu6 0.500 0.000 0.500
Cu7 0.500 0.500 0.274
Cu8 0.500 0.500 0.726
Pt1 0.000 0.000 0.000
Pt2 0.500 0.500 0.500
O1 0.000 0.000 0.390
O2 0.000 0.000 0.610
O3 0.500 0.500 0.110
O4 0.500 0.500 0.890
```

## Properties
Its density of states at the Fermi level is 1.285 states/eV/atom. Its volume is 229.9 Å³ per cell. The value obtained for the raw formation energy is 0.6323 eV per atom.

---

# 3
## Er6Si2GeSe3 (PBE)

Data for a relaxed structure of Er6Si2GeSe3.

Structure (CIF):
```
data_Er6Si2GeSe3
_chemical_formula_sum 'Er6 Si2 Ge1 Se3'
_space_group_name_H-M_alt 'P 1'
_space_group_IT_number 1
_space_group_name_Hall 'P 1'
_cell_length_a 9.165
_cell_length_b 9.165
_cell_length_c 8.208
_cell_angle_alpha 103.70
_cell_angle_beta 103.70
_cell_angle_gamma 25.72
loop_
_atom_site_label
_atom_site_fract_x
_atom_site_fract_y
_atom_site_fract_z
Er1 0.004 0.004 0.243
Er2 0.330 0.330 0.426
Er3 0.336 0.336 0.907
Er4 0.664 0.664 0.093
Er5 0.670 0.670 0.574
Er6 0.996 0.996 0.757
Si1 0.167 0.167 0.333
Si2 0.833 0.833 0.667
Ge1 0.500 0.500 0.000
Se1 0.166 0.166 0.833
Se2 0.500 0.500 0.500
Se3 0.834 0.834 0.167
```

## Properties
Its density of states at the Fermi level is 0.235 states/eV/atom. Its volume is 290.2 Å³ per cell. The value obtained for the raw formation energy is -1.3080 eV per atom.

---

# 4
## Zn2PCl (PBE)

Data for a relaxed structure of Zn2PCl.

Structure (CIF):
```
data_Zn2PCl
_chemical_formula_sum 'Zn8 P4 Cl4'
_space_group_name_H-M_alt 'P 1'
_space_group_IT_number 1
_space_group_name_Hall 'P 1'
_cell_length_a 5.609
_cell_length_b 5.609
_cell_length_c 11.590
_cell_angle_alpha 90.00
_cell_angle_beta 90.00
_cell_angle_gamma 90.00
loop_
_atom_site_label
_atom_site_fract_x
_atom_site_fract_y
_atom_site_fract_z
Zn1 0.194 0.250 0.125
Zn2 0.250 0.694 0.375
Zn3 0.250 0.806 0.875
Zn4 0.306 0.250 0.625
Zn5 0.694 0.750 0.625
Zn6 0.750 0.194 0.875
Zn7 0.750 0.306 0.375
Zn8 0.806 0.750 0.125
P1 0.000 0.000 0.000
P2 0.000 0.500 0.250
P3 0.500 0.000 0.750
P4 0.500 0.500 0.500
Cl1 0.000 0.000 0.500
Cl2 0.000 0.500 0.750
Cl3 0.500 0.000 0.250
Cl4 0.500 0.500 0.000
```

## Properties
Its density of states at the Fermi level is 0.000 states/eV/atom. Its volume is 364.6 Å³ per cell. Its offset from the most stable computed form is 0 meV/atom. The value obtained for the raw formation energy is -0.5285 eV per atom.

---

# 5
## Rb8HfS6 (PBE)

Data for a relaxed structure of Rb8HfS6.

Structure (CIF):
```
data_Rb8HfS6
_chemical_formula_sum 'Rb16 Hf2 S12'
_space_group_name_H-M_alt 'P 1'
_space_group_IT_number 1
_space_group_name_Hall 'P 1'
_cell_length_a 10.107
_cell_length_b 8.948
_cell_length_c 12.496
_cell_angle_alpha 90.00
_cell_angle_beta 90.00
_cell_angle_gamma 90.00
loop_
_atom_site_label
_atom_site_fract_x
_atom_site_fract_y
_atom_site_fract_z
Rb1 0.000 0.153 0.000
Rb2 0.000 0.183 0.521
Rb3 0.173 0.521 0.166
Rb4 0.181 0.676 0.865
Rb5 0.197 0.942 0.243
Rb6 0.303 0.058 0.743
Rb7 0.319 0.324 0.365
Rb8 0.327 0.479 0.666
Rb9 0.500 0.817 0.021
Rb10 0.500 0.847 0.500
Rb11 0.673 0.479 0.666
Rb12 0.681 0.324 0.365
Rb13 0.697 0.058 0.743
Rb14 0.803 0.942 0.243
Rb15 0.819 0.676 0.865
Rb16 0.827 0.521 0.166
Hf1 0.000 0.689 0.555
Hf2 0.500 0.311 0.055
S1 0.000 0.233 0.268
S2 0.000 0.477 0.675
S3 0.000 0.791 0.061
S4 0.000 0.897 0.679
S5 0.199 0.682 0.448
S6 0.301 0.318 0.948
S7 0.500 0.103 0.179
S8 0.500 0.209 0.561
S9 0.500 0.523 0.175
S10 0.500 0.767 0.768
S11 0.699 0.318 0.948
S12 0.801 0.682 0.448
```

## Properties
Its density of states at the Fermi level is 0.000 states/eV/atom. Its volume is 1130.2 Å³ per cell. The value obtained for the raw formation energy is -1.1736 eV per atom.

---

# 6
## VCrOs5 (PBE)

Data for a relaxed structure of VCrOs5.

Structure (CIF):
```
data_VCrOs5
_chemical_formula_sum 'V2 Cr2 Os10'
_space_group_name_H-M_alt 'P 1'
_space_group_IT_number 1
_space_group_name_Hall 'P 1'
_cell_length_a 4.889
_cell_length_b 4.889
_cell_length_c 9.001
_cell_angle_alpha 103.65
_cell_angle_beta 103.65
_cell_angle_gamma 94.34
loop_
_atom_site_label
_atom_site_fract_x
_atom_site_fract_y
_atom_site_fract_z
V1 0.000 0.000 0.000
V2 0.000 0.000 0.500
Cr1 0.490 0.510 0.750
Cr2 0.510 0.490 0.250
Os1 0.003 0.402 0.848
Os2 0.147 0.853 0.750
Os3 0.240 0.544 0.460
Os4 0.402 0.003 0.348
Os5 0.456 0.760 0.040
Os6 0.544 0.240 0.960
Os7 0.598 0.997 0.652
Os8 0.760 0.456 0.540
Os9 0.853 0.147 0.250
Os10 0.997 0.598 0.152
```

## Properties
Its density of states at the Fermi level is 0.789 states/eV/atom. Its volume is 201.2 Å³ per cell. The value obtained for the formation energy is 184 meV/atom.

---

# 7
## AlTlBTe2 (PBE)

Data for a relaxed structure of AlTlBTe2.

Structure (CIF):
```
data_AlTlBTe2
_chemical_formula_sum 'Al1 Tl1 B1 Te2'
_space_group_name_H-M_alt 'P 1'
_space_group_IT_number 1
_space_group_name_Hall 'P 1'
_cell_length_a 5.465
_cell_length_b 5.465
_cell_length_c 4.096
_cell_angle_alpha 90.00
_cell_angle_beta 90.00
_cell_angle_gamma 90.00
loop_
_atom_site_label
_atom_site_fract_x
_atom_site_fract_y
_atom_site_fract_z
Al1 0.000 0.000 0.000
Tl1 0.500 0.500 0.000
B1 0.000 0.000 0.500
Te1 0.000 0.500 0.500
Te2 0.500 0.000 0.500
```

## Properties
Its density of states at the Fermi level is 0.797 states/eV/atom. Its volume is 122.3 Å³ per cell. The value obtained for the raw formation energy is 0.4010 eV per atom.

---

# 8
## SrTi2P2 (PBE)

Data for a relaxed structure of SrTi2P2.

Structure (CIF):
```
data_SrTi2P2
_chemical_formula_sum 'Sr2 Ti4 P4'
_space_group_name_H-M_alt 'P 1'
_space_group_IT_number 1
_space_group_name_Hall 'P 1'
_cell_length_a 7.432
_cell_length_b 7.432
_cell_length_c 3.308
_cell_angle_alpha 90.00
_cell_angle_beta 90.00
_cell_angle_gamma 90.00
loop_
_atom_site_label
_atom_site_fract_x
_atom_site_fract_y
_atom_site_fract_z
Sr1 0.000 0.000 0.000
Sr2 0.500 0.500 0.000
Ti1 0.136 0.364 0.500
Ti2 0.364 0.864 0.500
Ti3 0.636 0.136 0.500
Ti4 0.864 0.636 0.500
P1 0.135 0.635 0.000
P2 0.365 0.135 0.000
P3 0.635 0.865 0.000
P4 0.865 0.365 0.000
```

## Properties
Its density of states at the Fermi level is 0.316 states/eV/atom. Its volume is 182.7 Å³ per cell. Its offset from the most stable computed form is 11 meV/atom. The value obtained for the formation energy is -597 meV/atom.